The following is a DFT calculation (PBEsol) of crystalline Cs2ZnH12S2O14 at its relaxed geometry.

Results
* electronic total energy: -5.3976 eV/atom
* Fermi-level density of states: 0.0 states/eV/f.u.
* total magnetic moment: 0.00 μB per formula unit
* space group: P2_1/c

abc: 6.330 9.158 12.643
angles: 90.00 90.00 106.25
Element x y z (fractional)
H  0.920  0.716  0.904
H  0.982  0.344  0.685
H  0.018  0.656  0.315
H  0.087  0.738  0.632
H  0.670  0.104  0.938
H  0.913  0.762  0.132
H  0.308  0.525  0.358
H  0.330  0.896  0.062
H  0.087  0.238  0.868
H  0.982  0.844  0.815
H  0.920  0.216  0.596
H  0.677  0.291  0.400
H  0.913  0.262  0.368
H  0.080  0.284  0.096
H  0.692  0.975  0.858
H  0.308  0.025  0.142
H  0.080  0.784  0.404
H  0.692  0.475  0.642
H  0.677  0.791  0.100
H  0.018  0.156  0.185
H  0.670  0.604  0.562
H  0.330  0.396  0.438
H  0.323  0.209  0.900
H  0.323  0.709  0.600
O  0.204  0.468  0.077
O  0.708  0.004  0.935
O  0.836  0.841  0.115
O  0.399  0.236  0.416
O  0.601  0.264  0.916
O  0.796  0.532  0.923
O  0.991  0.677  0.390
O  0.292  0.996  0.065
O  0.945  0.359  0.818
O  0.945  0.859  0.682
O  0.292  0.496  0.435
O  0.009  0.323  0.610
O  0.612  0.920  0.739
O  0.991  0.177  0.110
O  0.708  0.504  0.565
O  0.601  0.764  0.584
O  0.164  0.659  0.615
O  0.009  0.823  0.890
O  0.399  0.736  0.084
O  0.055  0.141  0.318
O  0.836  0.341  0.385
O  0.388  0.580  0.239
O  0.796  0.032  0.577
O  0.388  0.080  0.261
O  0.204  0.968  0.423
O  0.055  0.641  0.182
O  0.164  0.159  0.885
O  0.612  0.420  0.761
Zn  0.000  0.500  0.500
Zn  0.000  0.000  0.000
Cs  0.352  0.130  0.645
Cs  0.352  0.630  0.855
Cs  0.648  0.870  0.355
Cs  0.648  0.370  0.145
S  0.260  0.105  0.354
S  0.740  0.395  0.854
S  0.740  0.895  0.646
S  0.260  0.605  0.146